This record from the Alexandria database describes a geometry-optimized HgBRh3 structure. The functional is PBE-GGA.

Unit cell a=4.9540 b=4.9540 c=4.9540 alpha=90.00 beta=90.00 gamma=90.00
Closest atoms and distances in Å follow each position.
Space group Pm-3m (No. 221)
Inequivalent atoms, fractional coordinates:
Hg 0.0000 0.0000 0.0000 [1 per cell]  6 Rh 2.48
B 0.5000 0.5000 0.5000 [1 per cell]  12 Rh 3.50
Rh 0.0000 0.0000 0.5000 [3 per cell]  2 Hg 2.48

Its total magnetization is 1.7 μB per formula unit. The crystal system is cubic. The uncorrected energy comes out at -16.26 eV/cell. For the energy of formation, the calculation gives 2.555 eV/atom.


This record from the Alexandria database describes a geometry-optimized Na4LiCe3S8 structure. The functional is PBE-GGA.

Unit cell a=8.1118 b=8.1118 c=19.7499 alpha=90.00 beta=90.00 gamma=120.00
Closest atoms and distances in Å follow each position.
Space group R-3m (No. 166, hexagonal axes)
Inequivalent atoms, fractional coordinates:
Na 0.0000 0.0000 0.0000 [3 per cell]  6 S 2.93
Na 0.0000 0.5000 0.0000 [9 per cell]  6 S 2.92-2.98
Li 0.0000 0.0000 0.5000 [3 per cell]  6 S 2.81
Ce 0.0000 0.5000 0.5000 [9 per cell]  6 S 2.75-2.80
S 0.0000 0.0000 0.2448 [6 per cell]  3 Ce 2.80, 3 Na 2.92
S 0.0066 0.5033 0.7587 [18 per cell]  2 Ce 2.75, 1 Li 2.81, 3 Na 2.93-2.98

Its total magnetization is 1.1 μB per formula unit. The crystal system is trigonal. The uncorrected energy comes out at -250.91 eV/cell. The uncorrected formation energy is -1602 meV per atom.


This record from the Alexandria database describes a geometry-optimized Cs2PbI3Cl structure. The functional is PBE-GGA.

Unit cell a=5.7327 b=6.3396 c=19.7698 alpha=90.00 beta=90.00 gamma=90.00
Closest atoms and distances in Å follow each position.
Space group Immm (No. 71)
Inequivalent atoms, fractional coordinates:
Cs 0.0000 0.0000 0.1401 [4 per cell]  7 I 3.86-4.30, 2 Cl 4.21
Pb 0.0000 0.0000 0.5000 [2 per cell]  2 Cl 2.87, 2 I 3.17
I 0.0000 0.0000 0.3354 [4 per cell]  1 Pb 3.25
I 0.0000 0.5000 0.5000 [2 per cell]  2 Pb 3.17
Cl 0.0000 0.5000 0.0000 [2 per cell]  2 Pb 2.87

Its total magnetization is 0.0 μB per formula unit. The crystal system is orthorhombic. The uncorrected energy comes out at -41.85 eV/cell. The uncorrected formation energy is -1288 meV per atom.